Record 1
Entry from Alexandria: a relaxed RbHf3Mo crystal (PBE).

a b c (Å): 5.2275 5.2275 5.2275
angles (deg): 90.00 90.00 90.00
Fractional positions:
1 Rb 0.0000 0.0000 0.0000
2 Hf 0.0000 0.5000 0.5000
3 Hf 0.5000 0.0000 0.5000
4 Hf 0.5000 0.5000 0.0000
5 Mo 0.5000 0.5000 0.5000

Calculated values
DFT formation energy: 0.965 eV/atom
Space group: Pm-3m

=====

Record 2
Entry from Alexandria: a relaxed Er4AlHgC crystal (PBE).

a b c (Å): 8.1013 8.1013 6.8413
angles (deg): 90.00 90.00 130.02
Fractional positions:
1 Er 0.0000 0.5000 0.0000
2 Er 0.0000 0.5000 0.5000
3 Er 0.0835 0.9165 0.7500
4 Er 0.4166 0.5834 0.7500
5 Er 0.5000 0.0000 0.0000
6 Er 0.5000 0.0000 0.5000
7 Er 0.5834 0.4166 0.2500
8 Er 0.9165 0.0835 0.2500
9 Al 0.1225 0.8775 0.2500
10 Al 0.8775 0.1225 0.7500
11 Hg 0.3816 0.6184 0.2500
12 Hg 0.6184 0.3816 0.7500
13 C 0.2498 0.7502 0.7500
14 C 0.7502 0.2498 0.2500

Calculated values
DFT formation energy: -0.315 eV/atom
Space group: Cmcm

=====

Record 3
Entry from Alexandria: a relaxed NaSCl2O crystal (PBE).

a b c (Å): 4.9194 4.9194 5.4412
angles (deg): 90.00 90.00 90.00
Fractional positions:
1 Na 0.0000 0.0000 0.0000
2 S 0.0000 0.0000 0.5000
3 Cl 0.0000 0.5000 0.0000
4 Cl 0.5000 0.0000 0.0000
5 O 0.5000 0.5000 0.5000

Calculated values
Uncorrected formation energy: 1.03 eV per atom
Space group: P4/mmm

=====

Record 4
Entry from Alexandria: a relaxed MgIn2Os crystal (PBE).

a b c (Å): 9.4018 9.4018 9.4018
angles (deg): 19.38 19.38 19.38
Fractional positions:
1 Mg 0.0000 0.0000 0.0000
2 In 0.2431 0.2431 0.2431
3 In 0.7569 0.7569 0.7569
4 Os 0.5000 0.5000 0.5000

Calculated values
DFT formation energy: 0.342 eV/atom
Space group: R-3m

=====

Record 5
Entry from Alexandria: a relaxed TcAg3Mo crystal (PBE).

a b c (Å): 4.9487 4.9487 4.9487
angles (deg): 90.00 90.00 90.00
Fractional positions:
1 Tc 0.0000 0.0000 0.0000
2 Ag 0.0000 0.0000 0.5000
3 Ag 0.0000 0.5000 0.0000
4 Ag 0.5000 0.0000 0.0000
5 Mo 0.5000 0.5000 0.5000

Calculated values
DFT formation energy: 2.223 eV/atom
Space group: Pm-3m

=====

Record 6
Entry from Alexandria: a relaxed LaTaV2 crystal (PBE).

a b c (Å): 4.7325 4.7325 4.7325
angles (deg): 60.00 60.00 60.00
Fractional positions:
1 La 0.0000 0.0000 0.0000
2 Ta 0.5000 0.5000 0.5000
3 V 0.2500 0.2500 0.2500
4 V 0.7500 0.7500 0.7500

Calculated values
DFT formation energy: 0.531 eV/atom
Space group: Fm-3m

=====

| no. | VASP energy (eV per atom) |
| --- | --- |
| 1 | -7.37 |
| 2 | -4.82 |
| 3 | -1.79 |
| 4 | -4.23 |
| 5 | -3.73 |
| 6 | -8.22 |